{"formula": "ScBeAg", "functional": "PBE-GGA", "state": "optimized geometry", "density_g_cm3": 5.16, "polymorph_energy_mev_per_atom": 285.4, "formation_energy_mev_per_atom": 210, "dos_at_fermi_per_ev_cell": 1.976, "magmom_total_mub_per_fu": 0.000, "lattice_angstrom": [[3.1944, 0.0000, 0.0000], [-1.5972, 2.7664, 0.0000], [0.0000, 0.0000, 5.8906]], "species": ["Sc", "Be", "Ag"], "frac_coords": [[0.0000, 0.0000, 0.0000], [0.3333, 0.6667, 0.6807], [0.6667, 0.3333, 0.4191]]}

***

{"formula": "Tm3Mg4Cd4", "functional": "PBE-GGA", "state": "optimized geometry", "density_g_cm3": 6.65, "polymorph_energy_mev_per_atom": 0.0, "formation_energy_mev_per_atom": -201, "dos_at_fermi_per_ev_cell": 6.438, "magmom_total_mub_per_fu": 0.000, "lattice_angstrom": [[3.3924, 0.0000, 0.0000], [0.0006, 4.9821, 0.0000], [1.6881, 2.4721, 15.5652]], "species": ["Tm", "Tm", "Tm", "Mg", "Mg", "Mg", "Mg", "Cd", "Cd", "Cd", "Cd"], "frac_coords": [[0.0000, 0.0000, 0.0000], [0.1405, 0.6399, 0.7194], [0.8595, 0.3601, 0.2806], [0.2642, 0.2646, 0.4710], [0.4077, 0.9082, 0.1838], [0.5923, 0.0918, 0.8162], [0.7358, 0.7354, 0.5290], [0.3169, 0.8174, 0.3662], [0.4536, 0.4530, 0.0942], [0.5464, 0.5470, 0.9058], [0.6831, 0.1826, 0.6338]]}

***

{"formula": "Pr3IrBr3", "functional": "PBE-GGA", "state": "optimized geometry", "density_g_cm3": 6.24, "polymorph_energy_mev_per_atom": 0.0, "dos_at_fermi_per_ev_cell": 13.202, "e_form_raw_mev_per_atom": -1398, "magmom_total_mub_per_fu": 0.000, "lattice_angstrom": [[-6.1042, 6.1042, 6.1042], [6.1042, -6.1042, 6.1042], [6.1042, 6.1042, -6.1042]], "species": ["Pr", "Pr", "Pr", "Pr", "Pr", "Pr", "Pr", "Pr", "Pr", "Pr", "Pr", "Pr", "Ir", "Ir", "Ir", "Ir", "Br", "Br", "Br", "Br", "Br", "Br", "Br", "Br", "Br", "Br", "Br", "Br"], "frac_coords": [[0.0160, 0.0319, 0.2660], [0.0160, 0.4840, 0.7500], [0.0319, 0.2660, 0.0160], [0.2340, 0.2660, 0.7500], [0.2340, 0.4681, 0.4840], [0.2660, 0.0160, 0.0319], [0.2660, 0.7500, 0.2340], [0.4681, 0.4840, 0.2340], [0.4840, 0.2340, 0.4681], [0.4840, 0.7500, 0.0160], [0.7500, 0.0160, 0.4840], [0.7500, 0.2340, 0.2660], [0.0000, 0.2500, 0.5000], [0.2500, 0.2500, 0.2500], [0.2500, 0.5000, 0.0000], [0.5000, 0.0000, 0.2500], [0.2500, 0.7543, 0.7457], [0.2500, 0.9957, 0.5043], [0.5043, 0.2500, 0.9957], [0.5043, 0.7543, 0.5085], [0.5085, 0.5043, 0.7543], [0.7457, 0.2500, 0.7543], [0.7457, 0.9957, 0.9915], [0.7543, 0.5085, 0.5043], [0.7543, 0.7457, 0.2500], [0.9915, 0.7457, 0.9957], [0.9957, 0.5043, 0.2500], [0.9957, 0.9915, 0.7457]]}